[1]
A plane-wave DFT calculation with GGA-PBE was carried out for a geometry-optimized Ta2AsRu structure.

Geometry as CIF:
```
data_Ta2AsRu
_chemical_formula_sum 'Ta4 As2 Ru2'
_space_group_name_H-M_alt 'A m m 2'
_space_group_IT_number 38
_space_group_name_Hall 'A 2 -2'
_cell_length_a 3.687
_cell_length_b 3.185
_cell_length_c 11.360
_cell_angle_alpha 90.00
_cell_angle_beta 90.00
_cell_angle_gamma 90.00
loop_
_atom_site_label
_atom_site_type_symbol
_atom_site_fract_x
_atom_site_fract_y
_atom_site_fract_z
_atom_site_occupancy
Ta1 Ta 0.000 0.000 0.000 1
Ta2 Ta 0.500 0.000 0.347 1
As1 As 0.500 0.000 0.591 1
Ru1 Ru 0.000 0.000 0.742 1
```

Its density of states at the Fermi level is 3.16 states/eV/cell. For the size of the total moment, the calculation gives 0.00 μB/cell. The crystal system is orthorhombic. The total energy is -77.7 eV/cell. The value obtained for the formation enthalpy at 0 K is -0.3033 eV per atom.

=====

[2]
A plane-wave DFT calculation with GGA-PBE was carried out for a geometry-optimized CeTl2Pt3O12 structure.

Geometry as CIF:
```
data_CeTl2Pt3O12
_chemical_formula_sum 'Ce3 Tl6 Pt9 O36'
_space_group_name_H-M_alt 'R -3 m'
_space_group_IT_number 166
_space_group_name_Hall '-R 3 2"'
_cell_length_a 7.2190
_cell_length_b 7.2190
_cell_length_c 15.6399
_cell_angle_alpha 90.00
_cell_angle_beta 90.00
_cell_angle_gamma 120.00
loop_
_atom_site_label
_atom_site_type_symbol
_atom_site_fract_x
_atom_site_fract_y
_atom_site_fract_z
_atom_site_occupancy
Ce1 Ce 0.0000 0.0000 0.0000 1
Tl1 Tl 0.0000 0.0000 0.3805 1
Pt1 Pt 0.0000 0.5000 0.5000 1
O1 O 0.0456 0.5228 0.3748 1
O2 O 0.0661 0.5331 0.7944 1
```

Its density of states at the Fermi level is 24.39 states/eV/cell. For the size of the total moment, the calculation gives 5.08 μB/cell. The crystal system is trigonal. The total energy is -308.0 eV/cell. As for the uncorrected formation energy: -798 meV/atom.

=====

[3]
A plane-wave DFT calculation with GGA-PBE was carried out for a geometry-optimized KGaI2N structure.

Geometry as CIF:
```
data_KGaI2N
_chemical_formula_sum 'K1 Ga1 I2 N1'
_space_group_name_H-M_alt 'P 4/m m m'
_space_group_IT_number 123
_space_group_name_Hall '-P 4 2'
_cell_length_a 6.556
_cell_length_b 6.556
_cell_length_c 5.276
_cell_angle_alpha 90.00
_cell_angle_beta 90.00
_cell_angle_gamma 90.00
loop_
_atom_site_label
_atom_site_type_symbol
_atom_site_fract_x
_atom_site_fract_y
_atom_site_fract_z
_atom_site_occupancy
K1 K 0.000 0.000 0.000 1
Ga1 Ga 0.500 0.500 0.500 1
I1 I 0.000 0.500 0.000 1
N1 N 0.000 0.000 0.500 1
```

Its density of states at the Fermi level is 1.09 states/eV/cell. The energy above the most stable polymorph in this dataset comes out at 0.7111 eV per atom. For the size of the total moment, the calculation gives 3.02 μB/cell. The crystal system is tetragonal. The total energy is -12.7 eV/cell. As for the uncorrected formation energy: 580 meV/atom.

=====

[4]
A plane-wave DFT calculation with GGA-PBE was carried out for a geometry-optimized YNi2Ir2 structure.

Geometry as CIF:
```
data_YNi2Ir2
_chemical_formula_sum 'Y2 Ni4 Ir4'
_space_group_name_H-M_alt 'P 4/m b m'
_space_group_IT_number 127
_space_group_name_Hall '-P 4 2ab'
_cell_length_a 7.311
_cell_length_b 7.311
_cell_length_c 2.831
_cell_angle_alpha 90.00
_cell_angle_beta 90.00
_cell_angle_gamma 90.00
loop_
_atom_site_label
_atom_site_type_symbol
_atom_site_fract_x
_atom_site_fract_y
_atom_site_fract_z
_atom_site_occupancy
Y1 Y 0.000 0.000 0.000 1
Ni1 Ni 0.123 0.377 0.000 1
Ir1 Ir 0.172 0.672 0.500 1
```

Its density of states at the Fermi level is 10.54 states/eV/cell. The energy above the most stable polymorph in this dataset comes out at 0.0552 eV per atom. For the size of the total moment, the calculation gives 0.00 μB/cell. The crystal system is tetragonal. The total energy is -73.2 eV/cell. The value obtained for the formation enthalpy at 0 K is -0.1733 eV per atom.

=====

[5]
A plane-wave DFT calculation with GGA-PBE was carried out for a geometry-optimized K3Dy2MgS6 structure.

Geometry as CIF:
```
data_K3Dy2MgS6
_chemical_formula_sum 'K6 Dy4 Mg2 S12'
_space_group_name_H-M_alt 'C 1 2/m 1'
_space_group_IT_number 12
_space_group_name_Hall '-C 2y'
_cell_length_a 6.900
_cell_length_b 11.954
_cell_length_c 7.744
_cell_angle_alpha 90.00
_cell_angle_beta 107.30
_cell_angle_gamma 90.00
loop_
_atom_site_label
_atom_site_type_symbol
_atom_site_fract_x
_atom_site_fract_y
_atom_site_fract_z
_atom_site_occupancy
K1 K 0.000 0.000 0.000 1
K2 K 0.000 0.333 0.000 1
Dy1 Dy 0.000 0.167 0.500 1
Mg1 Mg 0.000 0.500 0.500 1
S1 S 0.230 0.336 0.700 1
S2 S 0.239 0.000 0.700 1
```

Its density of states at the Fermi level is 20.54 states/eV/cell. For the size of the total moment, the calculation gives 0.00 μB/cell. The crystal system is monoclinic. The total energy is -115.1 eV/cell. As for the uncorrected formation energy: -1558 meV/atom.

=====

[6]
A plane-wave DFT calculation with GGA-PBE was carried out for a geometry-optimized Li2Cu6Pd structure.

Geometry as CIF:
```
data_Li2Cu6Pd
_chemical_formula_sum 'Li4 Cu12 Pd2'
_space_group_name_H-M_alt 'C 1 2/m 1'
_space_group_IT_number 12
_space_group_name_Hall '-C 2y'
_cell_length_a 7.582
_cell_length_b 4.964
_cell_length_c 6.704
_cell_angle_alpha 90.00
_cell_angle_beta 106.83
_cell_angle_gamma 90.00
loop_
_atom_site_label
_atom_site_type_symbol
_atom_site_fract_x
_atom_site_fract_y
_atom_site_fract_z
_atom_site_occupancy
Li1 Li 0.173 0.000 0.085 1
Cu1 Cu 0.047 0.244 0.690 1
Cu2 Cu 0.243 0.500 0.478 1
Pd1 Pd 0.000 0.500 0.000 1
```

Its density of states at the Fermi level is 5.83 states/eV/cell. For the size of the total moment, the calculation gives 0.00 μB/cell. The crystal system is monoclinic. The total energy is -67.6 eV/cell. The value obtained for the formation enthalpy at 0 K is -0.0240 eV per atom.

=====

[7]
A plane-wave DFT calculation with GGA-PBE was carried out for a geometry-optimized Ba8Zn2Ir structure.

Geometry as CIF:
```
data_Ba8Zn2Ir
_chemical_formula_sum 'Ba16 Zn4 Ir2'
_space_group_name_H-M_alt 'C 1 2/m 1'
_space_group_IT_number 12
_space_group_name_Hall '-C 2y'
_cell_length_a 15.322
_cell_length_b 8.577
_cell_length_c 8.687
_cell_angle_alpha 90.00
_cell_angle_beta 90.62
_cell_angle_gamma 90.00
loop_
_atom_site_label
_atom_site_type_symbol
_atom_site_fract_x
_atom_site_fract_y
_atom_site_fract_z
_atom_site_occupancy
Ba1 Ba 0.041 0.245 0.259 1
Ba2 Ba 0.193 0.000 0.609 1
Ba3 Ba 0.206 0.500 0.899 1
Zn1 Zn 0.088 0.000 0.959 1
Ir1 Ir 0.000 0.000 0.500 1
```

Its density of states at the Fermi level is 26.41 states/eV/cell. For the size of the total moment, the calculation gives 1.44 μB/cell. The crystal system is monoclinic. The total energy is -55.5 eV/cell. The value obtained for the formation enthalpy at 0 K is -0.0891 eV per atom.

=====

[8]
A plane-wave DFT calculation with GGA-PBE was carried out for a geometry-optimized Pr2SmTl4 structure.

Geometry as CIF:
```
data_Pr2SmTl4
_chemical_formula_sum 'Pr4 Sm2 Tl8'
_space_group_name_H-M_alt 'I 4/m m m'
_space_group_IT_number 139
_space_group_name_Hall '-I 4 2'
_cell_length_a 7.598
_cell_length_b 7.598
_cell_length_c 7.972
_cell_angle_alpha 90.00
_cell_angle_beta 90.00
_cell_angle_gamma 90.00
loop_
_atom_site_label
_atom_site_type_symbol
_atom_site_fract_x
_atom_site_fract_y
_atom_site_fract_z
_atom_site_occupancy
Pr1 Pr 0.000 0.500 0.000 1
Sm1 Sm 0.000 0.000 0.000 1
Tl1 Tl 0.250 0.250 0.250 1
```

Its density of states at the Fermi level is 14.80 states/eV/cell. The energy above the most stable polymorph in this dataset comes out at 0.0000 eV per atom. For the size of the total moment, the calculation gives 1.67 μB/cell. The crystal system is tetragonal. The total energy is -50.8 eV/cell. The value obtained for the formation enthalpy at 0 K is -0.2338 eV per atom.

=====

[9]
A plane-wave DFT calculation with GGA-PBE was carried out for a geometry-optimized Ti2TlC structure.

Geometry as CIF:
```
data_Ti2TlC
_chemical_formula_sum 'Ti4 Tl2 C2'
_space_group_name_H-M_alt 'P 63/m m c'
_space_group_IT_number 194
_space_group_name_Hall '-P 6c 2c'
_cell_length_a 3.1756
_cell_length_b 3.1756
_cell_length_c 14.2269
_cell_angle_alpha 90.00
_cell_angle_beta 90.00
_cell_angle_gamma 120.00
loop_
_atom_site_label
_atom_site_type_symbol
_atom_site_fract_x
_atom_site_fract_y
_atom_site_fract_z
_atom_site_occupancy
Ti1 Ti 0.3333 0.6667 0.0773 1
Tl1 Tl 0.3333 0.6667 0.7500 1
C1 C 0.0000 0.0000 0.0000 1
```

Its density of states at the Fermi level is 2.44 states/eV/cell. For the size of the total moment, the calculation gives 0.00 μB/cell. The crystal system is hexagonal. The total energy is -59.3 eV/cell. The value obtained for the formation enthalpy at 0 K is -0.5730 eV per atom.

=====

[10]
A plane-wave DFT calculation with GGA-PBE was carried out for a geometry-optimized Nb2S2O structure.

Geometry as CIF:
```
data_Nb2S2O
_chemical_formula_sum 'Nb8 S8 O4'
_space_group_name_H-M_alt 'C 1 2/m 1'
_space_group_IT_number 12
_space_group_name_Hall '-C 2y'
_cell_length_a 11.262
_cell_length_b 4.855
_cell_length_c 6.858
_cell_angle_alpha 90.00
_cell_angle_beta 119.20
_cell_angle_gamma 90.00
loop_
_atom_site_label
_atom_site_type_symbol
_atom_site_fract_x
_atom_site_fract_y
_atom_site_fract_z
_atom_site_occupancy
Nb1 Nb 0.019 0.000 0.256 1
Nb2 Nb 0.195 0.500 0.575 1
S1 S 0.042 0.500 0.772 1
S2 S 0.195 0.000 0.672 1
O1 O 0.127 0.000 0.104 1
```

Its density of states at the Fermi level is 9.42 states/eV/cell. For the size of the total moment, the calculation gives 0.00 μB/cell. The crystal system is monoclinic. The total energy is -160.4 eV/cell. As for the uncorrected formation energy: -1351 meV/atom.

=====

[11]
A plane-wave DFT calculation with GGA-PBE was carried out for a geometry-optimized NpSi3Ni9 structure.

Geometry as CIF:
```
data_NpSi3Ni9
_chemical_formula_sum 'Np2 Si6 Ni18'
_space_group_name_H-M_alt 'C 1 2/m 1'
_space_group_IT_number 12
_space_group_name_Hall '-C 2y'
_cell_length_a 4.816
_cell_length_b 11.556
_cell_length_c 6.083
_cell_angle_alpha 90.00
_cell_angle_beta 111.33
_cell_angle_gamma 90.00
loop_
_atom_site_label
_atom_site_type_symbol
_atom_site_fract_x
_atom_site_fract_y
_atom_site_fract_z
_atom_site_occupancy
Np1 Np 0.000 0.000 0.000 1
Si1 Si 0.000 0.500 0.500 1
Si2 Si 0.250 0.250 0.000 1
Ni1 Ni 0.000 0.000 0.500 1
Ni2 Ni 0.102 0.388 0.221 1
Ni3 Ni 0.159 0.176 0.340 1
```

Its density of states at the Fermi level is 34.95 states/eV/cell. For the size of the total moment, the calculation gives 5.89 μB/cell. The crystal system is monoclinic. The total energy is -172.4 eV/cell. As for the uncorrected formation energy: -382 meV/atom.

=====

[12]
A plane-wave DFT calculation with GGA-PBE was carried out for a geometry-optimized SrGa2Te structure.

Geometry as CIF:
```
data_SrGa2Te
_chemical_formula_sum 'Sr4 Ga8 Te4'
_space_group_name_H-M_alt 'I -4 2 d'
_space_group_IT_number 122
_space_group_name_Hall 'I -4 2bw'
_cell_length_a 8.540
_cell_length_b 8.540
_cell_length_c 6.489
_cell_angle_alpha 90.00
_cell_angle_beta 90.00
_cell_angle_gamma 90.00
loop_
_atom_site_label
_atom_site_type_symbol
_atom_site_fract_x
_atom_site_fract_y
_atom_site_fract_z
_atom_site_occupancy
Sr1 Sr 0.000 0.000 0.000 1
Ga1 Ga 0.220 0.750 0.625 1
Te1 Te 0.000 0.000 0.500 1
```

Its density of states at the Fermi level is 8.49 states/eV/cell. For the size of the total moment, the calculation gives 0.00 μB/cell. The crystal system is tetragonal. The total energy is -49.7 eV/cell. As for the uncorrected formation energy: -386 meV/atom.

=====

- Look up the size of the total moment of the eleventh one.
  5.89 μB/cell